Computed, not measured: a relaxed structure of Tb3Nd2SmTm6 at the GGA-PBE level of DFT.

Summary:
Density in Mg/m³: 8.5
Calculated formation energy in eV per atom: 0.0201

Cell: 6.157 6.157 11.679 Å, 95.02 95.02 119.96°
Element x y z (fractional)
Tb (0.000, 0.000, 0.000)
Tb (0.333, 0.667, 0.000)
Tb (0.667, 0.333, 0.000)
Nd (0.167, 0.833, 0.500)
Nd (0.833, 0.167, 0.500)
Sm (0.500, 0.500, 0.500)
Tm (0.082, 0.415, 0.247)
Tm (0.252, 0.252, 0.753)
Tm (0.415, 0.082, 0.247)
Tm (0.585, 0.918, 0.753)
Tm (0.748, 0.748, 0.247)
Tm (0.918, 0.585, 0.753)

Computed, not measured: a relaxed structure of KCdC2 at the GGA-PBE level of DFT.

Summary:
Density in Mg/m³: 3.9
Calculated formation energy in eV per atom: 1.9546

Cell: 8.351 8.351 8.351 Å, 149.38 149.38 43.85°
Element x y z (fractional)
K (0.375, 0.625, 0.750)
K (0.625, 0.375, 0.250)
Cd (0.125, 0.875, 0.250)
Cd (0.875, 0.125, 0.750)
C (0.000, 0.000, 0.000)
C (0.000, 0.000, 0.500)
C (0.000, 0.500, 0.000)
C (0.500, 0.000, 0.500)

| no. | total energy (eV/atom) |
| --- | --- |
| 1 | -4.561 |
| 2 | -3.160 |